[1]
LaEr | PBE-GGA | relaxed

The structure belongs to space group Cmcm (No. 63); the cell edges are 3.5400, 13.4346 and 5.6900 Å and the angles 90.00°, 90.00° and 90.00°. The distinct sites, in fractional coordinates, are La at (0.0000, 0.0588, 0.2500) and Er at (0.0000, 0.3149, 0.2500).

The calculated total energy comes out at -0.343 Ry per atom. The polymorph energy (0 for the lowest one) comes out at 55 meV per atom. The calculation puts the total moment at 0.00 μB per atom. The density of states at the Fermi level comes out at 13.58 states/eV per cell. The calculated formation energy comes out at 0.08 eV per atom.

[2]
MnAl2Pb | PBE-GGA | relaxed

The structure belongs to space group P4/mmm (No. 123); the cell edges are 4.0945, 4.0945 and 4.6505 Å and the angles 90.00°, 90.00° and 90.00°. The distinct sites, in fractional coordinates, are Mn at (0.0000, 0.0000, 0.0000), Al at (0.0000, 0.5000, 0.5000) and Pb at (0.5000, 0.5000, 0.0000).

The calculated total energy comes out at -0.351 Ry per atom. The calculation puts the total moment at 0.91 μB per atom. The density of states at the Fermi level comes out at 1.61 states/eV per cell. The calculated formation energy comes out at 0.32 eV per atom.

[3]
BaBi2Cl2 | PBE-GGA | relaxed

The structure belongs to space group I4/mmm (No. 139); the cell edges are 4.2781, 4.2781 and 23.8140 Å and the angles 90.00°, 90.00° and 90.00°. The distinct sites, in fractional coordinates, are Ba at (0.0000, 0.0000, 0.0000), Bi at (0.0000, 0.5000, 0.2500) and Cl at (0.0000, 0.0000, 0.4333).

The calculated total energy comes out at -0.277 Ry per atom. The polymorph energy (0 for the lowest one) comes out at 0 meV per atom. The value obtained for the formation energy (no corrections) is -1.087 eV/atom. The calculation puts the total moment at 0.00 μB per atom. The density of states at the Fermi level comes out at 4.90 states/eV per cell.

[4]
SrCe4Hg5 | PBE-GGA | relaxed

The structure belongs to space group P4/mmm (No. 123); the cell edges are 3.1681, 3.1681 and 29.3725 Å and the angles 90.00°, 90.00° and 90.00°. The distinct sites, in fractional coordinates, are Sr at (0.0000, 0.0000, 0.0000), Ce at (0.0000, 0.0000, 0.1250), Ce at (0.0000, 0.0000, 0.2147), Hg at (0.5000, 0.5000, 0.3001), Hg at (0.5000, 0.5000, 0.3994) and Hg at (0.5000, 0.5000, 0.5000).

The calculated total energy comes out at -0.185 Ry per atom. The calculation puts the total moment at 0.27 μB per atom. The density of states at the Fermi level comes out at 17.97 states/eV per cell. The calculated formation energy comes out at 0.18 eV per atom.

[5]
ThAlCd | PBE-GGA | relaxed

The structure belongs to space group I4mm (No. 107); the cell edges are 3.4584, 3.4584 and 12.2179 Å and the angles 90.00°, 90.00° and 90.00°. The distinct sites, in fractional coordinates, are Th at (0.0000, 0.0000, 0.0000), Al at (0.0000, 0.0000, 0.6742) and Cd at (0.0000, 0.0000, 0.3054).

The calculated total energy comes out at -0.303 Ry per atom. The calculation puts the total moment at 0.00 μB per atom. The density of states at the Fermi level comes out at 4.69 states/eV per cell. The calculated formation energy comes out at -0.09 eV per atom.

[6]
MgSiB2 | PBE-GGA | relaxed

The structure belongs to space group Fm-3m (No. 225); the cell edges are 5.5945, 5.5945 and 5.5945 Å and the angles 90.00°, 90.00° and 90.00°. The distinct sites, in fractional coordinates, are Mg at (0.0000, 0.0000, 0.0000), Si at (0.0000, 0.0000, 0.5000) and B at (0.2500, 0.2500, 0.2500).

The calculated total energy comes out at -0.300 Ry per atom. The polymorph energy (0 for the lowest one) comes out at 902 meV per atom. The value obtained for the formation energy (no corrections) is 1.018 eV/atom. The calculation puts the total moment at 0.00 μB per atom. The density of states at the Fermi level comes out at 6.31 states/eV per cell.

[7]
YGaSbO6 | PBE-GGA | relaxed

The structure belongs to space group P-31c (No. 163); the cell edges are 5.2537, 5.2537 and 9.7317 Å and the angles 90.00°, 90.00° and 120.00°. The distinct sites, in fractional coordinates, are Y at (0.0000, 0.0000, 0.0000), Ga at (0.3333, 0.6667, 0.2500), Sb at (0.3333, 0.6667, 0.7500) and O at (0.0006, 0.3573, 0.6384).

The calculated total energy comes out at -0.500 Ry per atom. The value obtained for the formation energy (no corrections) is -1.981 eV/atom. The calculation puts the total moment at 0.11 μB per atom. The density of states at the Fermi level comes out at 10.68 states/eV per cell.

[8]
AlRe2Ni | PBE-GGA | relaxed

The structure belongs to space group Immm (No. 71); the cell edges are 3.1169, 4.1802 and 8.5648 Å and the angles 90.00°, 90.00° and 90.00°. The distinct sites, in fractional coordinates, are Al at (0.0000, 0.0000, 0.0000), Re at (0.0000, 0.5000, 0.2477) and Ni at (0.0000, 0.0000, 0.5000).

The calculated total energy comes out at -0.635 Ry per atom. The calculation puts the total moment at 0.00 μB per atom. The density of states at the Fermi level comes out at 7.12 states/eV per cell. The calculated formation energy comes out at -0.03 eV per atom.